Below is a relaxed structure of RbUS2O8, with properties calculated at the PBE-GGA level.

a = 5.596 Å, b = 5.596 Å, c = 8.480 Å
α = 90.00°, β = 90.00°, γ = 120.00°
Element x y z (fractional)
Rb1 0.000 0.000 0.500
U1 0.000 0.000 0.000
S1 0.333 0.667 0.759
S2 0.667 0.333 0.241
O1 0.189 0.377 0.822
O2 0.189 0.811 0.822
O3 0.623 0.811 0.822
O4 0.377 0.189 0.178
O5 0.667 0.333 0.412
O6 0.333 0.667 0.588
O7 0.811 0.623 0.178
O8 0.811 0.189 0.178

Energy relative to the elements, uncorrected, meV per atom: -1842
E_tot, eV/cell: -82.28
Magnetic moment, μB per cell: 3.00

Below is a relaxed structure of ThMgZnTc, with properties calculated at the PBE-GGA level.

a = 4.861 Å, b = 4.861 Å, c = 4.861 Å
α = 60.00°, β = 60.00°, γ = 60.00°
Element x y z (fractional)
Mg1 0.250 0.250 0.250
Zn1 0.000 0.000 0.000
Tc1 0.500 0.500 0.500
Th1 0.750 0.750 0.750

Fermi-level density of states, states/eV per cell: 4.44
Formation enthalpy at 0 K, eV per atom: 0.08
E_tot, eV/cell: -20.34
Magnetic moment, μB per cell: 0.00

Below is a relaxed structure of Au5Cl, with properties calculated at the PBE-GGA level.

a = 7.036 Å, b = 7.036 Å, c = 6.779 Å
α = 59.38°, β = 59.38°, γ = 25.00°
Element x y z (fractional)
Au1 0.996 0.996 0.003
Au2 0.649 0.649 0.594
Au3 0.349 0.349 0.407
Au4 0.407 0.407 0.770
Au5 0.045 0.045 0.364
Cl1 0.721 0.721 0.029

Energy relative to the elements, uncorrected, meV per atom: 133
Fermi-level density of states, states/eV per cell: 1.84
Energy relative to the lowest polymorph listed for this composition, meV per atom: 17
E_tot, eV/cell: -17.43
Magnetic moment, μB per cell: 0.00

Below is a relaxed structure of La2Tb2Pr2Nd, with properties calculated at the PBE-GGA level.

a = 5.193 Å, b = 6.362 Å, c = 8.246 Å
α = 97.31°, β = 90.00°, γ = 114.09°
Element x y z (fractional)
La1 0.142 0.284 0.427
La2 0.858 0.716 0.573
Tb1 0.571 0.142 0.714
Tb2 0.429 0.858 0.286
Pr1 0.715 0.430 0.142
Pr2 0.285 0.570 0.858
Nd1 0.000 0.000 0.000

Fermi-level density of states, states/eV per cell: 12.19
Formation enthalpy at 0 K, eV per atom: 0.02
E_tot, eV/cell: -33.30
Magnetic moment, μB per cell: 0.00

Below is a relaxed structure of ThI2Cl6, with properties calculated at the PBE-GGA level.

a = 7.964 Å, b = 7.074 Å, c = 8.002 Å
α = 63.77°, β = 94.93°, γ = 101.22°
Element x y z (fractional)
Th1 0.000 0.000 0.000
I1 0.500 0.856 0.289
I2 0.500 0.144 0.711
Cl1 0.176 0.995 0.714
Cl2 0.824 0.005 0.286
Cl3 0.210 0.327 0.000
Cl4 0.176 0.709 0.286
Cl5 0.824 0.291 0.714
Cl6 0.790 0.673 0.000

Energy relative to the elements, uncorrected, meV per atom: -1186
Fermi-level density of states, states/eV per cell: 0.00
E_tot, eV/cell: -32.28
Magnetic moment, μB per cell: 0.00

Below is a relaxed structure of UAlZnO6, with properties calculated at the PBE-GGA level.

a = 5.223 Å, b = 5.223 Å, c = 8.895 Å
α = 90.00°, β = 90.00°, γ = 120.00°
Element x y z (fractional)
U1 0.333 0.667 0.250
U2 0.667 0.333 0.750
Al1 0.667 0.333 0.250
Al2 0.333 0.667 0.750
Zn1 0.000 0.000 0.000
Zn2 0.000 0.000 0.500
O1 0.665 0.643 0.133
O2 0.978 0.335 0.133
O3 0.335 0.978 0.633
O4 0.022 0.665 0.867
O5 0.357 0.335 0.367
O6 0.978 0.643 0.367
O7 0.643 0.978 0.867
O8 0.665 0.022 0.367
O9 0.022 0.357 0.633
O10 0.357 0.022 0.133
O11 0.643 0.665 0.633
O12 0.335 0.357 0.867

Energy relative to the elements, uncorrected, meV per atom: -2298
Fermi-level density of states, states/eV per cell: 10.99
E_tot, eV/cell: -133.48
Magnetic moment, μB per cell: 0.00

Below is a relaxed structure of CeGe4Au4, with properties calculated at the PBE-GGA level.

a = 6.865 Å, b = 6.865 Å, c = 8.236 Å
α = 90.00°, β = 90.00°, γ = 90.00°
Element x y z (fractional)
Ce1 0.000 0.000 0.000
Ce2 0.500 0.500 0.500
Ge1 0.500 0.748 0.837
Ge2 0.500 0.252 0.837
Ge3 0.748 0.500 0.163
Ge4 0.252 0.500 0.163
Ge5 0.248 0.000 0.337
Ge6 0.752 0.000 0.337
Ge7 0.000 0.248 0.663
Ge8 0.000 0.752 0.663
Au1 0.205 0.500 0.852
Au2 0.795 0.500 0.852
Au3 0.500 0.795 0.148
Au4 0.500 0.205 0.148
Au5 0.000 0.705 0.352
Au6 0.000 0.295 0.352
Au7 0.295 0.000 0.648
Au8 0.705 0.000 0.648

Fermi-level density of states, states/eV per cell: 19.67
Formation enthalpy at 0 K, eV per atom: -0.15
E_tot, eV/cell: -77.80
Magnetic moment, μB per cell: 2.53

Below is a relaxed structure of AcLaAgHg, with properties calculated at the PBE-GGA level.

a = 5.573 Å, b = 5.573 Å, c = 5.573 Å
α = 60.00°, β = 60.00°, γ = 60.00°
Element x y z (fractional)
Ac1 0.750 0.750 0.750
Hg1 0.000 0.000 0.000
Ag1 0.500 0.500 0.500
La1 0.250 0.250 0.250

Fermi-level density of states, states/eV per cell: 3.68
Formation enthalpy at 0 K, eV per atom: -0.37
E_tot, eV/cell: -13.66
Magnetic moment, μB per cell: 0.03

Below is a relaxed structure of Pm2SnSe, with properties calculated at the PBE-GGA level.

a = 4.329 Å, b = 4.329 Å, c = 7.642 Å
α = 73.55°, β = 73.55°, γ = 60.00°
Element x y z (fractional)
Sn1 0.500 0.500 0.500
Se1 0.000 0.000 0.000
Pm1 0.253 0.253 0.240
Pm2 0.747 0.747 0.760

Energy relative to the elements, uncorrected, meV per atom: -1277
Fermi-level density of states, states/eV per cell: 1.63
Energy relative to the lowest polymorph listed for this composition, meV per atom: 28
E_tot, eV/cell: -22.10
Magnetic moment, μB per cell: 0.00

Below is a relaxed structure of MnCdMo2, with properties calculated at the PBE-GGA level.

a = 5.281 Å, b = 5.281 Å, c = 4.397 Å
α = 65.43°, β = 65.43°, γ = 34.90°
Element x y z (fractional)
Cd1 0.750 0.750 0.750
Mn1 0.250 0.250 0.250
Mo1 0.981 0.981 0.019
Mo2 0.519 0.519 0.481

Fermi-level density of states, states/eV per cell: 2.92
Formation enthalpy at 0 K, eV per atom: 0.37
E_tot, eV/cell: -30.26
Magnetic moment, μB per cell: 1.44

Below is a relaxed structure of HfZr2, with properties calculated at the PBE-GGA level.

a = 5.129 Å, b = 5.581 Å, c = 9.670 Å
α = 90.00°, β = 90.00°, γ = 90.00°
Element x y z (fractional)
Hf1 0.750 0.830 0.168
Hf2 0.250 0.670 0.668
Hf3 0.750 0.330 0.332
Hf4 0.250 0.170 0.832
Zr1 0.750 0.837 0.833
Zr2 0.750 0.832 0.498
Zr3 0.250 0.668 0.998
Zr4 0.250 0.663 0.333
Zr5 0.750 0.337 0.667
Zr6 0.750 0.332 0.002
Zr7 0.250 0.168 0.502
Zr8 0.250 0.163 0.167

Fermi-level density of states, states/eV per cell: 8.71
Formation enthalpy at 0 K, eV per atom: 0.00
E_tot, eV/cell: -108.22
Magnetic moment, μB per cell: 0.00

Below is a relaxed structure of K2LaFe, with properties calculated at the PBE-GGA level.

a = 5.048 Å, b = 7.659 Å, c = 4.025 Å
α = 76.02°, β = 86.32°, γ = 108.22°
Element x y z (fractional)
Fe1 0.500 0.500 0.000
K1 0.000 0.000 0.000
K2 0.500 0.000 0.500
La1 0.000 0.500 0.500

Fermi-level density of states, states/eV per cell: 5.63
Energy relative to the lowest polymorph listed for this composition, meV per atom: 400
Formation enthalpy at 0 K, eV per atom: 0.85
E_tot, eV/cell: -12.17
Magnetic moment, μB per cell: 1.53